Entry 1:
A relaxed structure of LiAl2Tl, computed with GGA-PBE.

```
4
Lattice="0.000 3.475 3.475 3.475 0.000 3.475 3.475 3.475 0.000" Properties=species:S:1:pos:R:3 pbc="T T T"
Li 0.000 0.000 0.000
Al 1.737 1.737 1.737
Al 5.212 5.212 5.212
Tl 3.475 3.475 3.475
```

Summary:
* DOS at the Fermi energy: 1.2 states/eV per cell
* formation enthalpy at 0 K: 207 meV per atom
* spin magnetization: 0.000 μB/atom

=====

Entry 2:
A relaxed structure of LiAl2Tl, computed with GGA-PBE.

```
4
Lattice="2.769 -4.463 0.000 2.769 4.463 0.000 0.000 0.000 3.279" Properties=species:S:1:pos:R:3 pbc="T T T"
Li 0.000 0.000 0.000
Al 1.384 2.232 1.640
Al 1.384 -2.232 1.640
Tl 2.769 0.000 0.000
```

Summary:
* DOS at the Fermi energy: 1.2 states/eV per cell
* formation enthalpy at 0 K: 95 meV per atom
* spin magnetization: 0.000 μB/atom

=====

Entry 3:
A relaxed structure of LiAlTl2, computed with GGA-PBE.

```
4
Lattice="1.679 0.969 9.318 -1.679 0.969 9.318 0.000 -1.939 9.318" Properties=species:S:1:pos:R:3 pbc="T T T"
Li 0.000 0.000 0.000
Al 0.000 0.000 13.977
Tl 0.000 0.000 7.079
Tl 0.000 0.000 20.875
```

Summary:
* DOS at the Fermi energy: 0.9 states/eV per cell
* formation enthalpy at 0 K: 28 meV per atom
* spin magnetization: 0.000 μB/atom